# 1
Entry from the Alexandria database: a relaxed structure of CsKTlIn (PBE).

For the formation energy from the elements, the calculation gives -0.05 eV per formula unit. As for the total magnetization: 0.000 Bohr magnetons per cell. As for the crystal system: cubic. The calculation puts the total energy at -1.776 eV per atom.

The space group is F-43m (No. 216) and the conventional cell measures 8.5127, 8.5127 and 8.5127 Å, with angles of 90.00, 90.00 and 90.00 degrees. Symmetry generates all atoms from Cs at (0.0000, 0.0000, 0.0000), K at (0.2500, 0.2500, 0.7500), Tl at (0.2500, 0.2500, 0.2500) and In at (0.0000, 0.0000, 0.5000).

***

# 2
Entry from the Alexandria database: a relaxed structure of Cs2KTl2In (PBE).

For the formation energy from the elements, the calculation gives -0.33 eV per formula unit. As for the total magnetization: 0.000 Bohr magnetons per cell. As for the crystal system: orthorhombic. The calculation puts the total energy at -1.768 eV per atom.

The space group is Pmc2_1 (No. 26) and the conventional cell measures 5.6022, 9.7627 and 10.1176 Å, with angles of 90.00, 90.00 and 90.00 degrees. Symmetry generates all atoms from Cs at (0.0000, 0.1315, 0.0000), Cs at (0.5000, 0.1695, 0.6422), K at (0.5000, 0.4591, 0.9563), Tl at (0.0000, 0.4602, 0.6893), Tl at (0.5000, 0.2311, 0.2474) and In at (0.0000, 0.3070, 0.3906).

***

# 3
Entry from the Alexandria database: a relaxed structure of CsKTl3In (PBE).

For the formation energy from the elements, the calculation gives -0.39 eV per formula unit. As for the total magnetization: 0.000 Bohr magnetons per cell. As for the crystal system: orthorhombic. The calculation puts the total energy at -2.030 eV per atom.

The space group is Cmcm (No. 63) and the conventional cell measures 8.1200, 15.9244 and 7.8466 Å, with angles of 90.00, 90.00 and 90.00 degrees. Symmetry generates all atoms from Cs at (0.0000, 0.1703, 0.2500), K at (0.0000, 0.1334, 0.7500), Tl at (0.0000, 0.3703, 0.7500), Tl at (0.2231, 0.5000, 0.0000) and In at (0.0000, 0.4038, 0.2500).

***

# 4
Entry from the Alexandria database: a relaxed structure of CsK2TlIn (PBE).

For the formation energy from the elements, the calculation gives 0.19 eV per formula unit. As for the total magnetization: 0.000 Bohr magnetons per cell. As for the crystal system: tetragonal. The calculation puts the total energy at -1.594 eV per atom.

The space group is P4/mmm (No. 123) and the conventional cell measures 6.8964, 6.8964 and 5.9328 Å, with angles of 90.00, 90.00 and 90.00 degrees. Symmetry generates all atoms from Cs at (0.0000, 0.0000, 0.0000), K at (0.0000, 0.5000, 0.5000), Tl at (0.5000, 0.5000, 0.5000) and In at (0.5000, 0.5000, 0.0000).

***

# 5
Entry from the Alexandria database: a relaxed structure of Cs2KTl12In3 (PBE).

For the formation energy from the elements, the calculation gives 0.84 eV per formula unit. As for the total magnetization: 0.000 Bohr magnetons per cell. As for the crystal system: trigonal. The calculation puts the total energy at -2.143 eV per atom.

The space group is R-3m (No. 166, hexagonal axes) and the conventional cell measures 8.5792, 8.5792 and 34.1548 Å, with angles of 90.00, 90.00 and 120.00 degrees. Symmetry generates all atoms from Cs at (0.0000, 0.0000, 0.1428), K at (0.0000, 0.0000, 0.5000), Tl at (0.0468, 0.5234, 0.9075), Tl at (0.0802, 0.5401, 0.6245) and In at (0.0000, 0.5000, 0.0000).

***

# 6
Entry from the Alexandria database: a relaxed structure of CsK2TlIn (PBE).

For the formation energy from the elements, the calculation gives 0.19 eV per formula unit. As for the total magnetization: 0.000 Bohr magnetons per cell. As for the crystal system: tetragonal. The calculation puts the total energy at -1.593 eV per atom.

The space group is P4/mmm (No. 123) and the conventional cell measures 6.9364, 6.9364 and 5.9924 Å, with angles of 90.00, 90.00 and 90.00 degrees. Symmetry generates all atoms from Cs at (0.0000, 0.0000, 0.0000), K at (0.0000, 0.5000, 0.5000), Tl at (0.5000, 0.5000, 0.0000) and In at (0.5000, 0.5000, 0.5000).

***

# 7
Entry from the Alexandria database: a relaxed structure of CsK2InW (PBE).

For the formation energy from the elements, the calculation gives 9.07 eV per formula unit. As for the total magnetization: 4.769 Bohr magnetons per cell. As for the crystal system: tetragonal. The calculation puts the total energy at -1.935 eV per atom.

The space group is P4/mmm (No. 123) and the conventional cell measures 6.7034, 6.7034 and 6.4203 Å, with angles of 90.00, 90.00 and 90.00 degrees. Symmetry generates all atoms from Cs at (0.0000, 0.0000, 0.0000), K at (0.0000, 0.5000, 0.0000), In at (0.5000, 0.5000, 0.5000) and W at (0.0000, 0.0000, 0.5000).

***

# 8
Entry from the Alexandria database: a relaxed structure of CsK2ZnIn (PBE).

For the formation energy from the elements, the calculation gives 0.51 eV per formula unit. As for the total magnetization: 0.000 Bohr magnetons per cell. As for the crystal system: tetragonal. For the polymorph energy (0 for the lowest one), the calculation gives 0.0354 eV per atom. The calculation puts the total energy at -1.309 eV per atom.

The space group is P4/mmm (No. 123) and the conventional cell measures 6.9416, 6.9416 and 5.5212 Å, with angles of 90.00, 90.00 and 90.00 degrees. Symmetry generates all atoms from Cs at (0.0000, 0.0000, 0.0000), K at (0.0000, 0.5000, 0.5000), Zn at (0.5000, 0.5000, 0.0000) and In at (0.5000, 0.5000, 0.5000).

***

Question: formation energy from the elements of number 1 (CsKTlIn)?
Answer: -0.05 eV per formula unit

***

Please write out number 8 again, unchanged.
Entry from the Alexandria database: a relaxed structure of CsK2ZnIn (PBE).

For the formation energy from the elements, the calculation gives 0.51 eV per formula unit. As for the total magnetization: 0.000 Bohr magnetons per cell. As for the crystal system: tetragonal. For the polymorph energy (0 for the lowest one), the calculation gives 0.0354 eV per atom. The calculation puts the total energy at -1.309 eV per atom.

The space group is P4/mmm (No. 123) and the conventional cell measures 6.9416, 6.9416 and 5.5212 Å, with angles of 90.00, 90.00 and 90.00 degrees. Symmetry generates all atoms from Cs at (0.0000, 0.0000, 0.0000), K at (0.0000, 0.5000, 0.5000), Zn at (0.5000, 0.5000, 0.0000) and In at (0.5000, 0.5000, 0.5000).